# 1
# NiMoAsPt

A geometry-optimized NiMoAsPt structure (PBE, OQMD).

Cell: 4.359 4.359 4.359 Å, 60.00 60.00 60.00°
Sites, in units of the cell vectors:
Ni 0.750 0.750 0.750
Mo 0.250 0.250 0.250
Pt 0.500 0.500 0.500
As 0.000 0.000 0.000

Results
- crystal system = cubic
- E_tot (eV/cell) = -27.2
- SG = F-43m, No. 216
- volume (Å³ per atom) = 14.643

=====

# 2
# LaHfAs

A geometry-optimized LaHfAs structure (PBE, OQMD).

Cell: 4.797 4.797 4.797 Å, 60.00 60.00 60.00°
Sites, in units of the cell vectors:
Hf 0.250 0.250 0.250
La 0.750 0.750 0.750
As 0.000 0.000 0.000

Results
- crystal system = cubic
- E_tot (eV/cell) = -20.6
- SG = F-43m, No. 216
- volume (Å³ per atom) = 26.025

=====

Among the records above, which one has the highest volume? LaHfAs

=====

Which formula does entry 2 have? LaHfAs

=====

What is the volume in the second record? 26.025 Å³ per atom

=====

What is the E_tot in the first record? -27.2 eV/cell